(1)
Entry from Alexandria via LeMat-Bulk: a geometry-optimized Pm4Tl3In structure (PBE-GGA).

The structure in CIF format:
```
data_Pm4Tl3In
_chemical_formula_sum 'Pm4 Tl3 In1'
_space_group_name_H-M_alt 'P 4/m m m'
_space_group_IT_number 123
_space_group_name_Hall '-P 4 2'
_cell_length_a 3.873
_cell_length_b 3.873
_cell_length_c 15.505
_cell_angle_alpha 90.00
_cell_angle_beta 90.00
_cell_angle_gamma 90.00
loop_
_atom_site_label
_atom_site_type_symbol
_atom_site_fract_x
_atom_site_fract_y
_atom_site_fract_z
Pm1 Pm 0.000 0.000 0.123
Pm2 Pm 0.000 0.000 0.374
Tl1 Tl 0.500 0.500 0.249
Tl2 Tl 0.500 0.500 0.500
In1 In 0.500 0.500 0.000
```

formation enthalpy at 0 K = -0.42 eV per atom
magnetic moment = 0.00 μB/f.u.
theoretical density = 9.339 g cm⁻³
energy relative to the lowest polymorph listed for this composition = 0 meV/atom



(2)
Entry from Alexandria via LeMat-Bulk: a geometry-optimized CdBi2Ru2 structure (PBE-GGA).

The structure in CIF format:
```
data_CdBi2Ru2
_chemical_formula_sum 'Cd2 Bi4 Ru4'
_space_group_name_H-M_alt 'P 4/m b m'
_space_group_IT_number 127
_space_group_name_Hall '-P 4 2ab'
_cell_length_a 7.802
_cell_length_b 7.802
_cell_length_c 3.409
_cell_angle_alpha 90.00
_cell_angle_beta 90.00
_cell_angle_gamma 90.00
loop_
_atom_site_label
_atom_site_type_symbol
_atom_site_fract_x
_atom_site_fract_y
_atom_site_fract_z
Cd1 Cd 0.000 0.000 0.000
Bi1 Bi 0.154 0.346 0.500
Ru1 Ru 0.141 0.641 0.000
```

formation enthalpy at 0 K = 0.34 eV per atom
magnetic moment = 0.00 μB/f.u.
theoretical density = 11.723 g cm⁻³



(3)
Entry from Alexandria via LeMat-Bulk: a geometry-optimized Fe2TeP structure (PBE-GGA).

The structure in CIF format:
```
data_Fe2TeP
_chemical_formula_sum 'Fe2 Te1 P1'
_space_group_name_H-M_alt 'P m m m'
_space_group_IT_number 47
_space_group_name_Hall '-P 2 2'
_cell_length_a 3.400
_cell_length_b 3.523
_cell_length_c 5.429
_cell_angle_alpha 90.00
_cell_angle_beta 90.00
_cell_angle_gamma 90.00
loop_
_atom_site_label
_atom_site_type_symbol
_atom_site_fract_x
_atom_site_fract_y
_atom_site_fract_z
Fe1 Fe 0.000 0.000 0.246
Te1 Te 0.500 0.500 0.500
P1 P 0.500 0.000 0.000
```

magnetic moment = 2.62 μB/f.u.
theoretical density = 6.901 g cm⁻³
uncorrected formation energy = 192 meV/atom
energy relative to the lowest polymorph listed for this composition = 284 meV/atom



(4)
Entry from Alexandria via LeMat-Bulk: a geometry-optimized ReIrW2 structure (PBE-GGA).

The structure in CIF format:
```
data_ReIrW2
_chemical_formula_sum 'Re3 Ir3 W6'
_space_group_name_H-M_alt 'R -3 m'
_space_group_IT_number 166
_space_group_name_Hall '-R 3 2"'
_cell_length_a 2.7857
_cell_length_b 2.7857
_cell_length_c 27.7424
_cell_angle_alpha 90.00
_cell_angle_beta 90.00
_cell_angle_gamma 120.00
loop_
_atom_site_label
_atom_site_type_symbol
_atom_site_fract_x
_atom_site_fract_y
_atom_site_fract_z
Re1 Re 0.0000 0.0000 0.0000
Ir1 Ir 0.0000 0.0000 0.5000
W1 W 0.0000 0.0000 0.2481
```

formation enthalpy at 0 K = 0.12 eV per atom
magnetic moment = 0.00 μB/f.u.
theoretical density = 19.936 g cm⁻³



What did the fourth record say?
Entry from Alexandria via LeMat-Bulk: a geometry-optimized ReIrW2 structure (PBE-GGA).

The structure in CIF format:
```
data_ReIrW2
_chemical_formula_sum 'Re3 Ir3 W6'
_space_group_name_H-M_alt 'R -3 m'
_space_group_IT_number 166
_space_group_name_Hall '-R 3 2"'
_cell_length_a 2.7857
_cell_length_b 2.7857
_cell_length_c 27.7424
_cell_angle_alpha 90.00
_cell_angle_beta 90.00
_cell_angle_gamma 120.00
loop_
_atom_site_label
_atom_site_type_symbol
_atom_site_fract_x
_atom_site_fract_y
_atom_site_fract_z
Re1 Re 0.0000 0.0000 0.0000
Ir1 Ir 0.0000 0.0000 0.5000
W1 W 0.0000 0.0000 0.2481
```

formation enthalpy at 0 K = 0.12 eV per atom
magnetic moment = 0.00 μB/f.u.
theoretical density = 19.936 g cm⁻³